Record 1
Density functional theory data (PBE) for a geometry-optimized SmEr2Au3 structure.

Values from the calculation:
As for the density of states at the Fermi level: 2.32 states/eV per cell. For the mass density, the calculation gives 12.75 g cm⁻³. As for the crystal system: tetragonal. The value obtained for the total energy is -4.803 eV per atom. As for the formation enthalpy at 0 K: -857 meV per atom.

a b c (Å): 3.575 3.575 10.959
angles (deg): 90.00 90.00 90.00
Positions (direct):
Sm: 0.000 0.000 0.000
Er: 0.000 0.000 0.337
Er: 0.000 0.000 0.663
Au: 0.500 0.500 0.179
Au: 0.500 0.500 0.500
Au: 0.500 0.500 0.821

***

Record 2
Density functional theory data (PBE) for a geometry-optimized SmEr2Au structure.

Values from the calculation:
As for the density of states at the Fermi level: 5.72 states/eV per cell. For the mass density, the calculation gives 10.25 g cm⁻³. As for the crystal system: tetragonal. The value obtained for the total energy is -4.691 eV per atom. As for the formation enthalpy at 0 K: -410 meV per atom.

a b c (Å): 3.601 3.601 8.522
angles (deg): 90.00 90.00 90.00
Positions (direct):
Sm: 0.000 0.000 0.000
Er: 0.500 0.500 0.298
Er: 0.500 0.500 0.702
Au: 0.000 0.000 0.500

***

Record 3
Density functional theory data (PBE) for a geometry-optimized SmEr2Au structure.

Values from the calculation:
As for the density of states at the Fermi level: 11.00 states/eV per cell. For the mass density, the calculation gives 9.94 g cm⁻³. As for the crystal system: orthorhombic. The value obtained for the total energy is -4.698 eV per atom. As for the formation enthalpy at 0 K: -417 meV per atom.

a b c (Å): 6.451 6.451 7.768
angles (deg): 90.00 90.00 135.18
Positions (direct):
Sm: 0.046 0.954 0.750
Sm: 0.954 0.046 0.250
Er: 0.354 0.646 0.536
Er: 0.354 0.646 0.964
Er: 0.646 0.354 0.036
Er: 0.646 0.354 0.464
Au: 0.205 0.795 0.250
Au: 0.795 0.205 0.750

***

Record 4
Density functional theory data (PBE) for a geometry-optimized Sm2ErAu structure.

Values from the calculation:
As for the density of states at the Fermi level: 3.71 states/eV per cell. For the mass density, the calculation gives 9.23 g cm⁻³. As for the crystal system: trigonal. The value obtained for the total energy is -4.568 eV per atom. As for the formation enthalpy at 0 K: -248 meV per atom.

a b c (Å): 10.402 10.402 10.402
angles (deg): 20.40 20.40 20.40
Positions (direct):
Sm: 0.239 0.239 0.239
Sm: 0.761 0.761 0.761
Er: 0.000 0.000 0.000
Au: 0.500 0.500 0.500

***

Record 5
Density functional theory data (PBE) for a geometry-optimized SmErAu structure.

Values from the calculation:
As for the density of states at the Fermi level: 12.51 states/eV per cell. For the mass density, the calculation gives 10.62 g cm⁻³. As for the crystal system: orthorhombic. The value obtained for the total energy is -4.809 eV per atom. As for the formation enthalpy at 0 K: -622 meV per atom.

a b c (Å): 7.216 4.981 8.955
angles (deg): 90.00 90.00 90.00
Positions (direct):
Sm: 0.013 0.250 0.177
Sm: 0.487 0.750 0.677
Sm: 0.513 0.250 0.323
Sm: 0.987 0.750 0.823
Er: 0.148 0.250 0.581
Er: 0.352 0.750 0.081
Er: 0.648 0.250 0.919
Er: 0.852 0.750 0.419
Au: 0.250 0.250 0.901
Au: 0.250 0.750 0.401
Au: 0.750 0.250 0.599
Au: 0.750 0.750 0.099

***

Record 6
Density functional theory data (PBE) for a geometry-optimized SmErAu structure.

Values from the calculation:
As for the density of states at the Fermi level: 17.12 states/eV per cell. For the mass density, the calculation gives 10.47 g cm⁻³. As for the crystal system: monoclinic. The value obtained for the total energy is -4.789 eV per atom. As for the formation enthalpy at 0 K: -602 meV per atom.

a b c (Å): 7.344 4.937 13.518
angles (deg): 90.00 92.52 90.00
Positions (direct):
Sm: 0.003 0.250 0.284
Sm: 0.383 0.250 0.081
Sm: 0.482 0.250 0.376
Sm: 0.518 0.750 0.624
Sm: 0.617 0.750 0.919
Sm: 0.997 0.750 0.716
Er: 0.039 0.750 0.087
Er: 0.139 0.750 0.455
Er: 0.339 0.250 0.782
Er: 0.661 0.750 0.218
Er: 0.861 0.250 0.545
Er: 0.961 0.250 0.913
Au: 0.217 0.750 0.903
Au: 0.254 0.250 0.565
Au: 0.281 0.750 0.257
Au: 0.719 0.250 0.743
Au: 0.746 0.750 0.435
Au: 0.783 0.250 0.097

***

Record 7
Density functional theory data (PBE) for a geometry-optimized SmEr2Au structure.

Values from the calculation:
As for the density of states at the Fermi level: 20.31 states/eV per cell. For the mass density, the calculation gives 9.96 g cm⁻³. As for the crystal system: orthorhombic. The value obtained for the total energy is -4.720 eV per atom. As for the formation enthalpy at 0 K: -440 meV per atom.

a b c (Å): 6.954 9.855 6.636
angles (deg): 90.00 90.00 90.00
Positions (direct):
Sm: 0.002 0.250 0.124
Sm: 0.498 0.750 0.624
Sm: 0.502 0.250 0.376
Sm: 0.998 0.750 0.876
Er: 0.186 0.053 0.683
Er: 0.186 0.447 0.683
Er: 0.314 0.553 0.183
Er: 0.314 0.947 0.183
Er: 0.686 0.053 0.817
Er: 0.686 0.447 0.817
Er: 0.814 0.553 0.317
Er: 0.814 0.947 0.317
Au: 0.103 0.750 0.437
Au: 0.397 0.250 0.937
Au: 0.603 0.750 0.063
Au: 0.897 0.250 0.563

***

Record 8
Density functional theory data (PBE) for a geometry-optimized Sm3ErAu4 structure.

Values from the calculation:
As for the density of states at the Fermi level: 4.68 states/eV per cell. For the mass density, the calculation gives 12.04 g cm⁻³. As for the crystal system: tetragonal. The value obtained for the total energy is -4.796 eV per atom. As for the formation enthalpy at 0 K: -818 meV per atom.

a b c (Å): 3.634 3.634 14.682
angles (deg): 90.00 90.00 90.00
Positions (direct):
Sm: 0.000 0.000 0.000
Sm: 0.000 0.000 0.253
Sm: 0.000 0.000 0.747
Er: 0.000 0.000 0.500
Au: 0.500 0.500 0.126
Au: 0.500 0.500 0.385
Au: 0.500 0.500 0.615
Au: 0.500 0.500 0.874

***

Record 9
Density functional theory data (PBE) for a geometry-optimized Sm2ErAu structure.

Values from the calculation:
As for the density of states at the Fermi level: 5.93 states/eV per cell. For the mass density, the calculation gives 9.60 g cm⁻³. As for the crystal system: tetragonal. The value obtained for the total energy is -4.674 eV per atom. As for the formation enthalpy at 0 K: -355 meV per atom.

a b c (Å): 3.690 3.690 8.443
angles (deg): 90.00 90.00 90.00
Positions (direct):
Sm: 0.000 0.000 0.212
Sm: 0.000 0.000 0.788
Er: 0.500 0.500 0.500
Au: 0.500 0.500 0.000

***

Record 10
Density functional theory data (PBE) for a geometry-optimized SmEr2Au6 structure.

Values from the calculation:
As for the density of states at the Fermi level: 4.61 states/eV per cell. For the mass density, the calculation gives 14.25 g cm⁻³. As for the crystal system: monoclinic. The value obtained for the total energy is -4.506 eV per atom. As for the formation enthalpy at 0 K: -783 meV per atom.

a b c (Å): 8.495 8.495 5.240
angles (deg): 98.71 98.71 143.92
Positions (direct):
Sm: 0.000 0.000 0.000
Er: 0.334 0.666 0.500
Er: 0.666 0.334 0.500
Au: 0.004 0.668 0.170
Au: 0.332 0.996 0.830
Au: 0.344 0.344 0.672
Au: 0.656 0.656 0.328
Au: 0.668 0.004 0.170
Au: 0.996 0.332 0.830

***

Record 11
Density functional theory data (PBE) for a geometry-optimized Sm4ErAu2 structure.

Values from the calculation:
As for the density of states at the Fermi level: 10.92 states/eV per cell. For the mass density, the calculation gives 8.90 g cm⁻³. As for the crystal system: trigonal. The value obtained for the total energy is -4.517 eV per atom. As for the formation enthalpy at 0 K: -233 meV per atom.

a b c (Å): 9.181 9.181 9.181
angles (deg): 34.11 34.11 34.11
Positions (direct):
Sm: 0.124 0.124 0.124
Sm: 0.281 0.281 0.281
Sm: 0.719 0.719 0.719
Sm: 0.876 0.876 0.876
Er: 0.500 0.500 0.500
Au: 0.394 0.394 0.394
Au: 0.606 0.606 0.606

***

Record 12
Density functional theory data (PBE) for a geometry-optimized Sm2ErAu4 structure.

Values from the calculation:
As for the density of states at the Fermi level: 5.09 states/eV per cell. For the mass density, the calculation gives 11.75 g cm⁻³. As for the crystal system: tetragonal. The value obtained for the total energy is -4.561 eV per atom. As for the formation enthalpy at 0 K: -688 meV per atom.

a b c (Å): 7.471 7.471 7.471
angles (deg): 139.04 139.04 59.31
Positions (direct):
Sm: 0.223 0.223 0.000
Sm: 0.777 0.777 0.000
Er: 0.500 0.500 0.000
Au: 0.116 0.616 0.500
Au: 0.384 0.884 0.500
Au: 0.616 0.116 0.500
Au: 0.884 0.384 0.500

***

Question: Which of these has the lowest formation enthalpy at 0 K?
Answer: SmEr2Au3

***

Question: Which formula does entry 9 have?
Answer: Sm2ErAu

***

Question: What is the formation enthalpy at 0 K in the tenth record?
Answer: -783 meV per atom